{
  "formula": "Na2TlBiPd",
  "functional": "PBE",
  "state": "optimized geometry",
  "lattice": [[5.490, 0.000, 0.000], [0.000, 5.490, 0.000], [0.000, 0.000, 5.148]],
  "species": ["Na", "Na", "Tl", "Bi", "Pd"],
  "fractional_positions": [[0.000, 0.500, 0.000], [0.500, 0.000, 0.000], [0.000, 0.000, 0.500], [0.500, 0.500, 0.500], [0.500, 0.500, 0.000]],
  "dft_energy_ev_per_atom": -2.932,
  "volume_a3_per_fu": 155
}


{
  "formula": "NaTl2BiPd",
  "functional": "PBE",
  "state": "optimized geometry",
  "lattice": [[5.349, 0.000, 0.000], [0.000, 5.349, 0.000], [0.000, 0.000, 5.616]],
  "species": ["Na", "Tl", "Tl", "Bi", "Pd"],
  "fractional_positions": [[0.000, 0.000, 0.000], [0.000, 0.500, 0.500], [0.500, 0.000, 0.500], [0.500, 0.500, 0.000], [0.500, 0.500, 0.500]],
  "relative_energy_ev_per_fu": 0.00,
  "volume_a3_per_fu": 161
}


{
  "formula": "NaTl2BiPd",
  "functional": "PBE",
  "state": "optimized geometry",
  "lattice": [[5.297, 0.000, 0.000], [0.000, 5.297, 0.000], [0.000, 0.000, 5.350]],
  "species": ["Na", "Tl", "Tl", "Bi", "Pd"],
  "fractional_positions": [[0.000, 0.000, 0.000], [0.000, 0.500, 0.500], [0.500, 0.000, 0.500], [0.500, 0.500, 0.000], [0.000, 0.000, 0.500]],
  "relative_energy_ev_per_fu": 0.35,
  "volume_a3_per_fu": 150
}


{
  "formula": "NaTlBiPd",
  "functional": "PBE",
  "state": "optimized geometry",
  "lattice": [[3.495, 0.000, 0.000], [0.000, 3.495, 0.000], [0.000, 0.000, 8.237]],
  "species": ["Na", "Tl", "Bi", "Pd"],
  "fractional_positions": [[0.000, 0.000, 0.000], [0.500, 0.500, 0.277], [0.500, 0.500, 0.688], [0.000, 0.000, 0.505]],
  "relative_energy_ev_per_fu": 0.00,
  "volume_a3_per_fu": 101
}


{
  "formula": "NaTlBiPd",
  "functional": "PBE",
  "state": "optimized geometry",
  "lattice": [[0.000, 3.584, 3.584], [3.584, 0.000, 3.584], [3.584, 3.584, 0.000]],
  "species": ["Na", "Tl", "Bi", "Pd"],
  "fractional_positions": [[0.000, 0.000, 0.000], [0.750, 0.750, 0.750], [0.250, 0.250, 0.250], [0.500, 0.500, 0.500]],
  "relative_energy_ev_per_fu": 0.34,
  "volume_a3_per_fu": 92
}


{
  "formula": "NaBiPdW2",
  "functional": "PBE",
  "state": "optimized geometry",
  "lattice": [[4.856, 0.000, 0.000], [0.000, 4.856, 0.000], [0.000, 0.000, 4.991]],
  "species": ["Na", "Bi", "Pd", "W", "W"],
  "fractional_positions": [[0.000, 0.000, 0.000], [0.500, 0.500, 0.000], [0.000, 0.000, 0.500], [0.000, 0.500, 0.500], [0.500, 0.000, 0.500]],
  "dft_energy_ev_per_atom": -5.691,
  "volume_a3_per_fu": 118
}


{
  "formula": "Na2Zn2BiPd5",
  "functional": "PBE",
  "state": "optimized geometry",
  "lattice": [[9.770, 0.000, 0.000], [0.000, 9.770, 0.000], [0.000, 0.000, 3.803]],
  "species": ["Na", "Na", "Na", "Na", "Zn", "Zn", "Zn", "Zn", "Bi", "Bi", "Pd", "Pd", "Pd", "Pd", "Pd", "Pd", "Pd", "Pd", "Pd", "Pd"],
  "fractional_positions": [[0.174, 0.326, 0.000], [0.326, 0.826, 0.000], [0.674, 0.174, 0.000], [0.826, 0.674, 0.000], [0.124, 0.624, 0.000], [0.376, 0.124, 0.000], [0.624, 0.876, 0.000], [0.876, 0.376, 0.000], [0.000, 0.000, 0.000], [0.500, 0.500, 0.000], [0.000, 0.500, 0.500], [0.068, 0.789, 0.500], [0.211, 0.068, 0.500], [0.289, 0.568, 0.500], [0.432, 0.289, 0.500], [0.500, 0.000, 0.500], [0.568, 0.711, 0.500], [0.711, 0.432, 0.500], [0.789, 0.932, 0.500], [0.932, 0.211, 0.500]],
  "dft_energy_ev_per_atom": -3.848,
  "volume_a3_per_fu": 181
}


{
  "formula": "NaPm2Bi",
  "functional": "PBE",
  "state": "optimized geometry",
  "lattice": [[5.152, 0.000, 0.000], [0.000, 5.152, 0.000], [0.000, 0.000, 4.553]],
  "species": ["Na", "Pm", "Pm", "Bi"],
  "fractional_positions": [[0.000, 0.000, 0.000], [0.000, 0.500, 0.500], [0.500, 0.000, 0.500], [0.500, 0.500, 0.000]],
  "relative_energy_ev_per_fu": 0.00,
  "volume_a3_per_fu": 121
}